## BaEuNiTe (PBE)

Data for a relaxed structure of BaEuNiTe.

The structure belongs to space group F-43m (No. 216); the cell edges are 7.871, 7.871 and 7.871 Å and the angles 90.00°, 90.00° and 90.00°. Symmetry generates all atoms from Ba at (0.000, 0.000, 0.000), Eu at (0.000, 0.000, 0.500), Ni at (0.250, 0.250, 0.250) and Te at (0.250, 0.250, 0.750).

The calculation puts the spin magnetization at 28.0 μB/cell. The uncorrected formation energy is -541 meV per atom.

***

## BaEu2O (PBE)

Data for a relaxed structure of BaEu2O.

The structure belongs to space group R-3m (No. 166, hexagonal axes); the cell edges are 4.3465, 4.3465 and 33.3723 Å and the angles 90.00°, 90.00° and 120.00°. Symmetry generates all atoms from Ba at (0.0000, 0.0000, 0.0000), Eu at (0.0000, 0.0000, 0.4379) and O at (0.0000, 0.0000, 0.5000).

The calculation puts the spin magnetization at 42.5 μB/cell. The uncorrected formation energy is -938 meV per atom.

***

## Ba2EuO (PBE)

Data for a relaxed structure of Ba2EuO.

The structure belongs to space group R-3m (No. 166, hexagonal axes); the cell edges are 3.9599, 3.9599 and 32.8265 Å and the angles 90.00°, 90.00° and 120.00°. Symmetry generates all atoms from Ba at (0.0000, 0.0000, 0.1193), Eu at (0.0000, 0.0000, 0.0000) and O at (0.0000, 0.0000, 0.5000).

The calculation puts the spin magnetization at 23.0 μB/cell. The uncorrected formation energy is -1050 meV per atom.

***

## BaEuO2 (PBE)

Data for a relaxed structure of BaEuO2.

The structure belongs to space group R-3m (No. 166, hexagonal axes); the cell edges are 3.7405, 3.7405 and 18.7019 Å and the angles 90.00°, 90.00° and 120.00°. Symmetry generates all atoms from Ba at (0.0000, 0.0000, 0.0000), Eu at (0.0000, 0.0000, 0.5000) and O at (0.0000, 0.0000, 0.2397).

The calculation puts the spin magnetization at 20.8 μB/cell. The uncorrected formation energy is -2597 meV per atom.

***

## BaEu2PdO5 (PBE)

Data for a relaxed structure of BaEu2PdO5.

The structure belongs to space group P4/mbm (No. 127); the cell edges are 6.761, 6.761 and 5.959 Å and the angles 90.00°, 90.00° and 90.00°. Symmetry generates all atoms from Ba at (0.000, 0.000, 0.000), Eu at (0.176, 0.324, 0.500), Pd at (0.000, 0.500, 0.000), O at (0.000, 0.000, 0.500) and O at (0.142, 0.642, 0.247).

The calculation puts the spin magnetization at 24.0 μB/cell. The uncorrected formation energy is -2239 meV per atom.

***

## BaEu2PtO5 (PBE)

Data for a relaxed structure of BaEu2PtO5.

The structure belongs to space group P4/mbm (No. 127); the cell edges are 6.806, 6.806 and 5.961 Å and the angles 90.00°, 90.00° and 90.00°. Symmetry generates all atoms from Ba at (0.000, 0.000, 0.000), Eu at (0.177, 0.323, 0.500), Pt at (0.000, 0.500, 0.000), O at (0.000, 0.000, 0.500) and O at (0.141, 0.641, 0.246).

The calculation puts the spin magnetization at 24.0 μB/cell. The uncorrected formation energy is -2269 meV per atom.

***

Number 1: volume 30.48 A^3/atom. Number 2: volume 45.50 A^3/atom. Number 3: volume 37.15 A^3/atom. Number 4: volume 18.88 A^3/atom. Number 5: volume 15.13 A^3/atom. Number 6: volume 15.34 A^3/atom.